## CoP2RhO (PBE+U)

Data for an optimized crystal structure of CoP2RhO.

a b c (Å): 4.501 4.501 3.338
angles (deg): 90.00 90.00 90.00
Space group P4/mmm (No. 123)
One atom of each set of equivalent atoms:
Co1 0.000 0.000 0.000 x1
P1 0.000 0.500 0.000 x2
Rh1 0.500 0.500 0.500 x1
O1 0.000 0.000 0.500 x1

For the magnetic moment, the calculation gives 1.213 μB/f.u. The value obtained for the distance to the lowest polymorph of the same formula is 0.0000 eV/atom. The calculation puts the density of states at the Fermi level at 1.85 states/eV per cell.

=====

## CoP2SO (PBE+U)

Data for an optimized crystal structure of CoP2SO.

a b c (Å): 4.588 4.588 3.294
angles (deg): 90.00 90.00 90.00
Space group P4/mmm (No. 123)
One atom of each set of equivalent atoms:
Co1 0.000 0.000 0.000 x1
P1 0.000 0.500 0.500 x2
S1 0.500 0.500 0.500 x1
O1 0.500 0.500 0.000 x1

For the magnetic moment, the calculation gives 0.428 μB/f.u. The value obtained for the distance to the lowest polymorph of the same formula is 0.4309 eV/atom. The calculation puts the density of states at the Fermi level at 2.54 states/eV per cell.